Record 1
## HfReSb2 (PBE)

Data for an optimized crystal structure of HfReSb2.

```
4
Lattice="0.0000 3.4075 3.4075 3.4075 0.0000 3.4075 3.4075 3.4075 0.0000" Properties=species:S:1:pos:R:3 pbc="T T T"
Hf 0.0000 0.0000 0.0000
Re 3.4075 3.4075 3.4075
Sb 1.7037 1.7037 1.7037
Sb 5.1112 5.1112 5.1112
```

DOS(E_F): 8.14 states/eV per cell
raw formation energy: 0.216 eV/atom
SG: Fm-3m
total moment: 0.000 μB per atom
total energy: -7.4459 eV per atom

***

Record 2
## Hf2ReSb (PBE)

Data for an optimized crystal structure of Hf2ReSb.

```
4
Lattice="0.0000 3.4045 3.4045 3.4045 0.0000 3.4045 3.4045 3.4045 0.0000" Properties=species:S:1:pos:R:3 pbc="T T T"
Hf 1.7023 1.7023 1.7023
Hf 5.1068 5.1068 5.1068
Re 0.0000 0.0000 0.0000
Sb 3.4045 3.4045 3.4045
```

DOS(E_F): 5.66 states/eV per cell
raw formation energy: 0.000 eV/atom
SG: Fm-3m
total moment: 0.000 μB per atom
total energy: -9.1193 eV per atom

***

Record 3
## Hf2ReSb2 (PBE)

Data for an optimized crystal structure of Hf2ReSb2.

```
10
Lattice="6.8381 0.0000 0.0000 0.0000 6.8381 0.0000 0.0000 0.0000 4.4743" Properties=species:S:1:pos:R:3 pbc="T T T"
Hf 1.1010 2.3181 0.0000
Hf 2.3181 5.7371 0.0000
Hf 4.5201 1.1010 0.0000
Hf 5.7371 4.5201 0.0000
Re 0.0000 0.0000 2.2371
Re 3.4191 3.4191 2.2371
Sb 1.0137 4.4328 2.2371
Sb 2.4054 1.0137 2.2371
Sb 4.4328 5.8244 2.2371
Sb 5.8244 2.4054 2.2371
```

DOS(E_F): 6.44 states/eV per cell
raw formation energy: 0.052 eV/atom
SG: P4/mbm
total moment: 0.000 μB per atom
total energy: -8.0680 eV per atom